# meta-GGA SCAN CdAgIr, single point on PBEsol structure
# * distance to the lowest polymorph of the same formula: 0.000 eV per atom
# * mass density: 13.9 g/cm3
# * energy relative to the elements: 0.34 eV per atom
# * M_tot: 0.6 μB per formula unit
data_CdAgIr
_symmetry_space_group_name_H-M 'P 1'
_symmetry_Int_Tables_number 1
_cell_length_a 2.739
_cell_length_b 4.561
_cell_length_c 4.561
_cell_angle_alpha 120.00
_cell_angle_beta 90.00
_cell_angle_gamma 90.00
loop_
_symmetry_equiv_pos_as_xyz
'x,y,z'
loop_
_atom_site_label
_atom_site_type_symbol
_atom_site_fract_x
_atom_site_fract_y
_atom_site_fract_z
Ir1 Ir 0.341 0.667 0.333
Ag1 Ag 0.973 0.000 0.000
Cd1 Cd 0.686 0.333 0.667